No. 1
DFT (GGA-PBE) results for DyNbCo after structural relaxation.

Cell and atoms, written as POSCAR:
```
DyNbCo
1.0
0.000 3.126 3.126
3.126 0.000 3.126
3.126 3.126 0.000
Co Dy Nb
1 1 1
direct
0.250 0.250 0.250
0.000 0.000 0.000
0.750 0.750 0.750
```

Calculated values
Relative energy among the computed polymorphs (kJ per mole of atoms): 52.6
Total moment (μB/f.u.): 0.0
Symmetry: No. 216
Crystal system: cubic
Volume (Å³/f.u.): 61.1
Energy of formation (eV/atom): 1.358

=====

No. 2
DFT (GGA-PBE) results for DyNbCo after structural relaxation.

Cell and atoms, written as POSCAR:
```
DyNbCo
1.0
0.000 3.114 3.114
3.114 0.000 3.114
3.114 3.114 0.000
Co Nb Dy
1 1 1
direct
0.250 0.250 0.250
0.000 0.000 0.000
0.750 0.750 0.750
```

Calculated values
Relative energy among the computed polymorphs (kJ per mole of atoms): 0.0
Total moment (μB/f.u.): 0.0
Symmetry: No. 216
Crystal system: cubic
Volume (Å³/f.u.): 60.4
Energy of formation (eV/atom): 0.813

=====

No. 3
DFT (GGA-PBE) results for Dy2NbCoSi2 after structural relaxation.

Cell and atoms, written as POSCAR:
```
Dy2NbCoSi2
1.0
-1.551 -3.091 1.867
3.247 -0.304 2.193
-2.961 4.510 5.007
Si Dy Co Nb
2 2 1 1
direct
0.000 0.500 0.225
0.500 0.000 0.775
0.500 0.000 0.345
0.000 0.500 0.655
0.500 0.500 0.000
0.000 0.000 0.000
```

Calculated values
DFT total energy (Ry per atom): -0.4985
Total moment (μB/f.u.): 0.4
Symmetry: No. 115
Crystal system: tetragonal
Volume (Å³/f.u.): 113.7

=====

No. 4
DFT (GGA-PBE) results for NdDyCo2Si4 after structural relaxation.

Cell and atoms, written as POSCAR:
```
NdDyCo2Si4
1.0
3.995 0.000 0.000
0.000 2.038 8.152
0.000 -2.038 8.152
Dy Si Nd Co
1 4 1 2
direct
0.000 0.892 0.892
0.500 0.456 0.456
0.000 0.251 0.251
0.500 0.752 0.752
0.000 0.541 0.541
0.500 0.107 0.107
0.500 0.321 0.321
0.000 0.680 0.680
```

Calculated values
DFT total energy (Ry per atom): -0.4722
Total moment (μB/f.u.): 0.0
Symmetry: No. 38
Crystal system: orthorhombic
Volume (Å³/f.u.): 132.8

=====

No. 5
DFT (GGA-PBE) results for NdDyCo2Si2 after structural relaxation.

Cell and atoms, written as POSCAR:
```
NdDyCo2Si2
1.0
3.975 0.000 0.000
0.000 3.975 0.000
0.000 0.000 6.900
Si Nd Dy Co
2 1 1 2
direct
0.500 0.500 0.170
0.000 0.000 0.819
0.000 0.000 0.324
0.500 0.500 0.695
0.000 0.500 0.996
0.500 0.000 0.996
```

Calculated values
DFT total energy (Ry per atom): -0.4740
Total moment (μB/f.u.): 0.5
Symmetry: No. 99
Crystal system: tetragonal
Volume (Å³/f.u.): 109.0

=====

No. 6
DFT (GGA-PBE) results for NdDy3Tm2CoTe2 after structural relaxation.

Cell and atoms, written as POSCAR:
```
NdDy3Tm2CoTe2
1.0
3.929 0.000 0.000
0.000 7.200 4.209
0.000 -7.200 4.209
Te Dy Tm Nd Co
2 3 2 1 1
direct
0.500 0.326 0.669
0.500 0.669 0.326
0.500 0.237 0.237
0.500 0.997 0.764
0.500 0.764 0.997
0.000 0.001 0.394
0.000 0.394 0.001
0.000 0.591 0.591
0.000 0.020 0.020
```

Calculated values
DFT total energy (Ry per atom): -0.3826
Total moment (μB/f.u.): 0.0
Symmetry: No. 38
Crystal system: orthorhombic
Volume (Å³/f.u.): 238.1

=====

No. 7
DFT (GGA-PBE) results for Nd3Dy2YCoTe2 after structural relaxation.

Cell and atoms, written as POSCAR:
```
Nd3Dy2YCoTe2
1.0
4.029 0.000 0.000
0.000 7.327 4.237
0.000 -7.327 4.237
Nd Dy Te Y Co
3 2 2 1 1
direct
0.000 0.001 0.596
0.000 0.596 0.001
0.000 0.403 0.403
0.500 0.000 0.232
0.500 0.232 0.000
0.500 0.334 0.667
0.500 0.667 0.334
0.500 0.765 0.765
0.000 0.002 0.002
```

Calculated values
DFT total energy (Ry per atom): -0.4059
Total moment (μB/f.u.): 0.0
Symmetry: No. 38
Crystal system: orthorhombic
Volume (Å³/f.u.): 250.2

=====

No. 8
DFT (GGA-PBE) results for NdDyTlCo2 after structural relaxation.

Cell and atoms, written as POSCAR:
```
NdDyTlCo2
1.0
-0.128 3.072 2.465
-1.520 -4.547 5.588
2.335 -4.311 5.493
Co Nd Tl Dy
2 1 1 1
direct
0.500 0.788 0.788
0.500 0.206 0.206
0.000 0.362 0.362
0.500 0.004 0.004
0.000 0.640 0.640
```

Calculated values
DFT total energy (Ry per atom): -0.3994
Total moment (μB/f.u.): 1.4
Symmetry: No. 38
Crystal system: orthorhombic
Volume (Å³/f.u.): 108.2

=====

No. 9
DFT (GGA-PBE) results for Dy3Co2Ni7 after structural relaxation.

Cell and atoms, written as POSCAR:
```
Dy3Co2Ni7
1.0
2.469 1.426 8.105
-2.469 1.426 8.105
0.000 -2.851 8.105
Ni Co Dy
7 2 3
direct
0.081 0.582 0.582
0.418 0.418 0.919
0.582 0.582 0.081
0.500 0.500 0.500
0.919 0.418 0.418
0.582 0.081 0.582
0.418 0.919 0.418
0.667 0.667 0.667
0.333 0.333 0.333
0.139 0.139 0.139
0.861 0.861 0.861
0.000 0.000 0.000
```

Calculated values
Total moment (μB/f.u.): 3.8
Symmetry: No. 166
Crystal system: trigonal
Volume (Å³/f.u.): 171.2
Energy of formation (eV/atom): -0.351

=====

No. 10
DFT (GGA-PBE) results for DyCoNi2 after structural relaxation.

Cell and atoms, written as POSCAR:
```
DyCoNi2
1.0
-7.944 -3.163 -0.974
-6.429 -4.517 3.510
-8.150 0.035 2.763
Dy Ni Co
3 6 3
direct
0.139 0.139 0.139
0.861 0.861 0.861
0.000 0.000 0.000
0.581 0.581 0.083
0.083 0.581 0.581
0.419 0.419 0.917
0.917 0.419 0.419
0.419 0.917 0.419
0.581 0.083 0.581
0.667 0.667 0.667
0.333 0.333 0.333
0.500 0.500 0.500
```

Calculated values
Total moment (μB/f.u.): 1.5
Symmetry: No. 166
Crystal system: trigonal
Volume (Å³/f.u.): 56.8
Energy of formation (eV/atom): -0.306

=====

No. 11
DFT (GGA-PBE) results for DyCoNi after structural relaxation.

Cell and atoms, written as POSCAR:
```
DyCoNi
1.0
0.000 3.006 3.006
3.006 0.000 3.006
3.006 3.006 0.000
Dy Ni Co
1 1 1
direct
0.750 0.750 0.750
0.000 0.000 0.000
0.250 0.250 0.250
```

Calculated values
Total moment (μB/f.u.): 1.4
Symmetry: No. 216
Crystal system: cubic
Volume (Å³/f.u.): 54.3
Energy of formation (eV/atom): 0.152

=====

No. 12
DFT (GGA-PBE) results for DyCo2Ni2 after structural relaxation.

Cell and atoms, written as POSCAR:
```
DyCo2Ni2
1.0
2.678 0.436 5.109
5.004 2.727 0.992
-5.151 0.641 -2.553
Co Dy Ni
2 1 2
direct
0.250 0.750 0.500
0.750 0.250 0.500
0.000 0.000 0.000
0.611 0.611 0.000
0.389 0.389 0.000
```

Calculated values
Total moment (μB/f.u.): 3.7
Symmetry: No. 139
Crystal system: tetragonal
Volume (Å³/f.u.): 71.2
Energy of formation (eV/atom): -0.089

=====

No. 13
DFT (GGA-PBE) results for DyCoNi after structural relaxation.

Cell and atoms, written as POSCAR:
```
DyCoNi
1.0
0.000 3.007 3.007
3.007 0.000 3.007
3.007 3.007 0.000
Dy Ni Co
1 1 1
direct
0.000 0.000 0.000
0.750 0.750 0.750
0.250 0.250 0.250
```

Calculated values
Total moment (μB/f.u.): 0.2
Symmetry: No. 216
Crystal system: cubic
Volume (Å³/f.u.): 54.4
Energy of formation (eV/atom): 0.633

=====

No. 14
DFT (GGA-PBE) results for Dy2CoSi4Ni after structural relaxation.

Cell and atoms, written as POSCAR:
```
Dy2CoSi4Ni
1.0
-1.745 1.762 -3.121
-2.503 6.282 4.947
1.078 7.479 3.621
Si Dy Co Ni
4 2 1 1
direct
0.000 0.460 0.460
0.500 0.543 0.543
0.000 0.748 0.748
0.500 0.249 0.249
0.500 0.892 0.892
0.000 0.106 0.106
0.500 0.680 0.680
0.000 0.322 0.322
```

Calculated values
DFT total energy (Ry per atom): -0.4604
Total moment (μB/f.u.): 0.0
Symmetry: No. 38
Crystal system: orthorhombic
Volume (Å³/f.u.): 129.8

=====

No. 15
DFT (GGA-PBE) results for Dy2YCoNi8 after structural relaxation.

Cell and atoms, written as POSCAR:
```
Dy2YCoNi8
1.0
2.464 1.423 8.123
-2.464 1.423 8.123
0.000 -2.845 8.123
Ni Dy Y Co
8 2 1 1
direct
0.667 0.667 0.667
0.418 0.418 0.918
0.918 0.418 0.418
0.082 0.582 0.582
0.582 0.082 0.582
0.582 0.582 0.082
0.418 0.918 0.418
0.333 0.333 0.333
0.139 0.139 0.139
0.861 0.861 0.861
0.000 0.000 0.000
0.500 0.500 0.500
```

Calculated values
Total moment (μB/f.u.): 1.6
Symmetry: No. 166
Crystal system: trigonal
Volume (Å³/f.u.): 170.8
Energy of formation (eV/atom): -0.374

=====

No. 16
DFT (GGA-PBE) results for DyY2CoNi8 after structural relaxation.

Cell and atoms, written as POSCAR:
```
DyY2CoNi8
1.0
-8.254 0.405 2.411
-5.867 3.903 4.944
-7.194 4.719 0.262
Ni Y Co Dy
8 2 1 1
direct
0.582 0.083 0.582
0.418 0.917 0.418
0.418 0.418 0.917
0.917 0.418 0.418
0.582 0.582 0.083
0.333 0.333 0.333
0.083 0.582 0.582
0.667 0.667 0.667
0.860 0.860 0.860
0.140 0.140 0.140
0.500 0.500 0.500
0.000 0.000 0.000
```

Calculated values
Total moment (μB/f.u.): 1.6
Symmetry: No. 166
Crystal system: trigonal
Volume (Å³/f.u.): 171.3
Energy of formation (eV/atom): -0.365

=====

No. 17
DFT (GGA-PBE) results for DyY2Co2Ni7 after structural relaxation.

Cell and atoms, written as POSCAR:
```
DyY2Co2Ni7
1.0
2.474 1.428 8.123
-2.474 1.428 8.123
0.000 -2.857 8.123
Ni Dy Y Co
7 1 2 2
direct
0.919 0.419 0.419
0.500 0.500 0.500
0.581 0.581 0.081
0.581 0.081 0.581
0.081 0.581 0.581
0.419 0.419 0.919
0.419 0.919 0.419
0.000 0.000 0.000
0.861 0.861 0.861
0.139 0.139 0.139
0.333 0.333 0.333
0.667 0.667 0.667
```

Calculated values
Total moment (μB/f.u.): 3.8
Symmetry: No. 166
Crystal system: trigonal
Volume (Å³/f.u.): 172.2
Energy of formation (eV/atom): -0.338

=====

No. 18
DFT (GGA-PBE) results for Dy2YCo8Ni after structural relaxation.

Cell and atoms, written as POSCAR:
```
Dy2YCo8Ni
1.0
2.462 1.422 8.181
-2.462 1.422 8.181
0.000 -2.843 8.181
Co Dy Y Ni
8 2 1 1
direct
0.080 0.581 0.581
0.581 0.581 0.080
0.581 0.080 0.581
0.920 0.419 0.419
0.334 0.334 0.334
0.666 0.666 0.666
0.419 0.419 0.920
0.419 0.920 0.419
0.139 0.139 0.139
0.861 0.861 0.861
0.000 0.000 0.000
0.500 0.500 0.500
```

Calculated values
Total moment (μB/f.u.): 9.1
Symmetry: No. 166
Crystal system: trigonal
Volume (Å³/f.u.): 171.8
Energy of formation (eV/atom): -0.194

=====

No. 19
DFT (GGA-PBE) results for Dy2YCo3Ni6 after structural relaxation.

Cell and atoms, written as POSCAR:
```
Dy2YCo3Ni6
1.0
2.468 1.425 8.140
-2.468 1.425 8.140
0.000 -2.849 8.140
Co Ni Y Dy
3 6 1 2
direct
0.333 0.333 0.333
0.667 0.667 0.667
0.500 0.500 0.500
0.581 0.581 0.083
0.419 0.917 0.419
0.581 0.083 0.581
0.419 0.419 0.917
0.083 0.581 0.581
0.917 0.419 0.419
0.000 0.000 0.000
0.139 0.139 0.139
0.861 0.861 0.861
```

Calculated values
Total moment (μB/f.u.): 4.5
Symmetry: No. 166
Crystal system: trigonal
Volume (Å³/f.u.): 171.7
Energy of formation (eV/atom): -0.302

=====

No. 20
DFT (GGA-PBE) results for Dy2ZnCoNi after structural relaxation.

Cell and atoms, written as POSCAR:
```
Dy2ZnCoNi
1.0
4.430 -2.817 -0.755
-0.054 3.590 3.904
-2.090 -4.836 -0.620
Ni Co Dy Zn
1 1 2 1
direct
0.727 0.227 0.500
0.274 0.774 0.500
0.701 0.497 0.204
0.293 0.497 0.796
0.005 0.005 0.000
```

Calculated values
Total moment (μB/f.u.): 0.0
Symmetry: No. 44
Crystal system: orthorhombic
Volume (Å³/f.u.): 91.0
Energy of formation (eV/atom): -0.389